A plane-wave DFT calculation with PBE-GGA was carried out for crystalline DyScHgRh at its relaxed geometry.

Unit cell a=4.9198 b=4.9198 c=4.9198 alpha=60.00 beta=60.00 gamma=60.00
Fractional positions:
Sc (0.5000, 0.5000, 0.5000)
Rh (0.7500, 0.7500, 0.7500)
Hg (0.2500, 0.2500, 0.2500)
Dy (0.0000, 0.0000, 0.0000)

Output
E_form   -598 meV/atom